[1]
# LiCa2TbO4

Crystalline LiCa2TbO4 at its relaxed geometry (PBE, the Alexandria database).

The energy relative to the elements, uncorrected is -2.867 eV/atom. The calculated total energy is -213.27 eV per cell.

It has space group Imma (No. 74), with a = 6.7685 Å, b = 6.8251 Å, c = 9.3258 Å, α = 90.00°, β = 90.00° and γ = 90.00°. The distinct sites, in fractional coordinates, are Li at (0.0000, 0.0000, 0.0000), Ca at (0.0000, 0.0000, 0.5000), Ca at (0.2500, 0.2500, 0.2500), Tb at (0.2500, 0.2500, 0.7500), O at (0.0000, 0.0115, 0.7523) and O at (0.2409, 0.2500, 0.5046).

[2]
# BaAu3N

Crystalline BaAu3N at its relaxed geometry (PBE, the Alexandria database).

The energy relative to the elements, uncorrected is 1.553 eV/atom. The calculated total energy is -12.32 eV per cell.

It has space group Pm-3m (No. 221), with a = 6.3921 Å, b = 6.3921 Å, c = 6.3921 Å, α = 90.00°, β = 90.00° and γ = 90.00°. The distinct sites, in fractional coordinates, are Ba at (0.0000, 0.0000, 0.0000), Au at (0.0000, 0.0000, 0.5000) and N at (0.5000, 0.5000, 0.5000).

[3]
# PmCdInHg

Crystalline PmCdInHg at its relaxed geometry (PBE, the Alexandria database).

The calculated total energy is -40.28 eV per cell. The calculation puts the formation energy at -0.341 eV per atom.

It has space group F-43m (No. 216), with a = 7.3923 Å, b = 7.3923 Å, c = 7.3923 Å, α = 90.00°, β = 90.00° and γ = 90.00°. The distinct sites, in fractional coordinates, are Pm at (0.0000, 0.0000, 0.0000), Cd at (0.0000, 0.0000, 0.5000), In at (0.2500, 0.2500, 0.2500) and Hg at (0.2500, 0.2500, 0.7500).

[4]
# SmThGaHg

Crystalline SmThGaHg at its relaxed geometry (PBE, the Alexandria database).

The calculated total energy is -67.98 eV per cell. The calculation puts the formation energy at -0.382 eV per atom.

It has space group F-43m (No. 216), with a = 7.5104 Å, b = 7.5104 Å, c = 7.5104 Å, α = 90.00°, β = 90.00° and γ = 90.00°. The distinct sites, in fractional coordinates, are Sm at (0.0000, 0.0000, 0.0000), Th at (0.0000, 0.0000, 0.5000), Ga at (0.2500, 0.2500, 0.2500) and Hg at (0.2500, 0.2500, 0.7500).

[5]
# TbPr2Nb

Crystalline TbPr2Nb at its relaxed geometry (PBE, the Alexandria database).

The calculated total energy is -65.60 eV per cell. The calculation puts the formation energy at 0.598 eV per atom.

It has space group R-3m (No. 166, hexagonal axes), with a = 3.3783 Å, b = 3.3783 Å, c = 35.6981 Å, α = 90.00°, β = 90.00° and γ = 120.00°. The distinct sites, in fractional coordinates, are Tb at (0.0000, 0.0000, 0.0000), Pr at (0.0000, 0.0000, 0.4180) and Nb at (0.0000, 0.0000, 0.5000).

[6]
# CsNdHgSe3

Crystalline CsNdHgSe3 at its relaxed geometry (PBE, the Alexandria database).

The energy relative to the elements, uncorrected is -1.216 eV/atom. The calculated total energy is -47.35 eV per cell.

It has space group P2_1/m (No. 11), with a = 9.6059 Å, b = 4.4110 Å, c = 10.7028 Å, α = 90.00°, β = 109.59° and γ = 90.00°. The distinct sites, in fractional coordinates, are Cs at (0.2218, 0.2500, 0.2479), Nd at (0.3271, 0.7500, 0.8640), Hg at (0.0902, 0.2500, 0.6190), Se at (0.1134, 0.2500, 0.8716), Se at (0.2161, 0.7500, 0.5474) and Se at (0.4719, 0.7500, 0.1500).

[7]
# Na3AlF6

Crystalline Na3AlF6 at its relaxed geometry (PBE, the Alexandria database).

The energy relative to the elements, uncorrected is -3.122 eV/atom. The calculated total energy is -300.86 eV per cell.

It has space group R-3c (No. 167, hexagonal axes), with a = 9.1027 Å, b = 9.1027 Å, c = 11.0278 Å, α = 90.00°, β = 90.00° and γ = 120.00°. The distinct sites, in fractional coordinates, are Na at (0.0000, 0.3232, 0.2500), Al at (0.0000, 0.0000, 0.0000) and F at (0.0390, 0.1837, 0.4076).

[8]
# MgTl2Ge2

Crystalline MgTl2Ge2 at its relaxed geometry (PBE, the Alexandria database).

The calculated total energy is -29.53 eV per cell. The calculation puts the formation energy at 0.159 eV per atom.

It has space group I4/mmm (No. 139), with a = 3.7588 Å, b = 3.7588 Å, c = 18.0848 Å, α = 90.00°, β = 90.00° and γ = 90.00°. The distinct sites, in fractional coordinates, are Mg at (0.0000, 0.0000, 0.0000), Tl at (0.0000, 0.0000, 0.3948) and Ge at (0.0000, 0.5000, 0.2500).

[9]
# CuSi2Sb

Crystalline CuSi2Sb at its relaxed geometry (PBE, the Alexandria database).

The energy relative to the elements, uncorrected is 0.336 eV/atom. The calculated total energy is -17.72 eV per cell.

It has space group Pm (No. 6), with a = 3.1960 Å, b = 3.4732 Å, c = 6.6742 Å, α = 90.00°, β = 101.66° and γ = 90.00°. The distinct sites, in fractional coordinates, are Cu at (0.0000, 0.0000, 0.0000), Si at (0.3643, 0.5000, 0.7834), Si at (0.8036, 0.0000, 0.6292) and Sb at (0.6004, 0.5000, 0.2365).

[10]
# BaCaRh2

Crystalline BaCaRh2 at its relaxed geometry (PBE, the Alexandria database).

The calculated total energy is -18.66 eV per cell. The calculation puts the formation energy at -0.009 eV per atom.

It has space group P4/mmm (No. 123), with a = 5.0456 Å, b = 5.0456 Å, c = 3.6744 Å, α = 90.00°, β = 90.00° and γ = 90.00°. The distinct sites, in fractional coordinates, are Ba at (0.0000, 0.0000, 0.0000), Ca at (0.5000, 0.5000, 0.0000) and Rh at (0.0000, 0.5000, 0.5000).

[11]
# K3LuP2O8

Crystalline K3LuP2O8 at its relaxed geometry (PBE, the Alexandria database).

The energy relative to the elements, uncorrected is -2.609 eV/atom. The calculated total energy is -284.48 eV per cell.

It has space group P-3 (No. 147), with a = 9.6844 Å, b = 9.6844 Å, c = 7.8471 Å, α = 90.00°, β = 90.00° and γ = 120.00°. The distinct sites, in fractional coordinates, are K at (0.0000, 0.0000, 0.0000), K at (0.0005, 0.3341, 0.2442), K at (0.3333, 0.6667, 0.0045), Lu at (0.0000, 0.0000, 0.5000), Lu at (0.3333, 0.6667, 0.5329), P at (0.0133, 0.6724, 0.2715), O at (0.0070, 0.1853, 0.6656), O at (0.0700, 0.7004, 0.0863), O at (0.1415, 0.6628, 0.3849) and O at (0.1500, 0.4853, 0.7067).

[12]
# La2CoAs

Crystalline La2CoAs at its relaxed geometry (PBE, the Alexandria database).

The calculated total energy is -48.13 eV per cell. The calculation puts the formation energy at -0.613 eV per atom.

It has space group Imm2 (No. 44), with a = 3.8330 Å, b = 4.2803 Å, c = 11.6996 Å, α = 90.00°, β = 90.00° and γ = 90.00°. The distinct sites, in fractional coordinates, are La at (0.0000, 0.0000, 0.0000), La at (0.0000, 0.5000, 0.2280), Co at (0.0000, 0.0000, 0.4510) and As at (0.0000, 0.5000, 0.8154).

[13]
# MgGe3Br

Crystalline MgGe3Br at its relaxed geometry (PBE, the Alexandria database).

The energy relative to the elements, uncorrected is 0.826 eV/atom. The calculated total energy is -12.99 eV per cell.

It has space group Pm-3m (No. 221), with a = 5.1859 Å, b = 5.1859 Å, c = 5.1859 Å, α = 90.00°, β = 90.00° and γ = 90.00°. The distinct sites, in fractional coordinates, are Mg at (0.0000, 0.0000, 0.0000), Ge at (0.0000, 0.5000, 0.5000) and Br at (0.5000, 0.5000, 0.5000).

[14]
# Gd2ErSb

Crystalline Gd2ErSb at its relaxed geometry (PBE, the Alexandria database).

The energy relative to the elements, uncorrected is -0.506 eV/atom. The calculated total energy is -38.87 eV per cell.

It has space group P4/mmm (No. 123), with a = 4.7862 Å, b = 4.7862 Å, c = 4.8501 Å, α = 90.00°, β = 90.00° and γ = 90.00°. The distinct sites, in fractional coordinates, are Gd at (0.0000, 0.5000, 0.0000), Er at (0.0000, 0.0000, 0.5000) and Sb at (0.5000, 0.5000, 0.5000).

[15]
# FeAg3W

Crystalline FeAg3W at its relaxed geometry (PBE, the Alexandria database).

The calculated total energy is -17.83 eV per cell. The calculation puts the formation energy at 2.427 eV per atom.

It has space group Pm-3m (No. 221), with a = 5.0208 Å, b = 5.0208 Å, c = 5.0208 Å, α = 90.00°, β = 90.00° and γ = 90.00°. The distinct sites, in fractional coordinates, are Fe at (0.0000, 0.0000, 0.0000), Ag at (0.0000, 0.5000, 0.5000) and W at (0.5000, 0.5000, 0.5000).

[16]
# TcRu2Pb

Crystalline TcRu2Pb at its relaxed geometry (PBE, the Alexandria database).

The calculated total energy is -60.16 eV per cell. The calculation puts the formation energy at 0.636 eV per atom.

It has space group Immm (No. 71), with a = 3.2281 Å, b = 4.5779 Å, c = 8.8277 Å, α = 90.00°, β = 90.00° and γ = 90.00°. The distinct sites, in fractional coordinates, are Tc at (0.0000, 0.0000, 0.0000), Ru at (0.0000, 0.5000, 0.2487) and Pb at (0.0000, 0.0000, 0.5000).

[17]
# NdY3Mg8

Crystalline NdY3Mg8 at its relaxed geometry (PBE, the Alexandria database).

The calculated total energy is -114.19 eV per cell. The calculation puts the formation energy at -0.095 eV per atom.

It has space group R3m (No. 160, hexagonal axes), with a = 6.0771 Å, b = 6.0771 Å, c = 29.6317 Å, α = 90.00°, β = 90.00° and γ = 120.00°. The distinct sites, in fractional coordinates, are Nd at (0.0000, 0.0000, 0.0000), Y at (0.0000, 0.0000, 0.1251), Y at (0.0000, 0.0000, 0.4997), Y at (0.0000, 0.0000, 0.6241), Mg at (0.0000, 0.0000, 0.3123), Mg at (0.0000, 0.0000, 0.8121), Mg at (0.0010, 0.5005, 0.0630) and Mg at (0.1673, 0.3345, 0.8949).

[18]
# SmPuThCd

Crystalline SmPuThCd at its relaxed geometry (PBE, the Alexandria database).

The calculated total energy is -108.09 eV per cell. The calculation puts the formation energy at 0.091 eV per atom.

It has space group F-43m (No. 216), with a = 7.7023 Å, b = 7.7023 Å, c = 7.7023 Å, α = 90.00°, β = 90.00° and γ = 90.00°. The distinct sites, in fractional coordinates, are Sm at (0.0000, 0.0000, 0.0000), Pu at (0.2500, 0.2500, 0.2500), Th at (0.0000, 0.0000, 0.5000) and Cd at (0.2500, 0.2500, 0.7500).

[19]
# BaHf2Cd2

Crystalline BaHf2Cd2 at its relaxed geometry (PBE, the Alexandria database).

The calculated total energy is -45.24 eV per cell. The calculation puts the formation energy at 0.208 eV per atom.

It has space group P4/mbm (No. 127), with a = 9.0508 Å, b = 9.0508 Å, c = 3.1597 Å, α = 90.00°, β = 90.00° and γ = 90.00°. The distinct sites, in fractional coordinates, are Ba at (0.0000, 0.0000, 0.0000), Hf at (0.1169, 0.3831, 0.0000) and Cd at (0.1758, 0.6758, 0.5000).

[20]
# La2YTl2Zn2

Crystalline La2YTl2Zn2 at its relaxed geometry (PBE, the Alexandria database).

The calculated total energy is -75.19 eV per cell. The calculation puts the formation energy at -0.209 eV per atom.

It has space group R-3m (No. 166, hexagonal axes), with a = 4.7140 Å, b = 4.7140 Å, c = 28.1069 Å, α = 90.00°, β = 90.00° and γ = 120.00°. The distinct sites, in fractional coordinates, are La at (0.0000, 0.0000, 0.1373), Y at (0.0000, 0.0000, 0.0000), Tl at (0.0000, 0.0000, 0.2722) and Zn at (0.0000, 0.0000, 0.4143).